1 | An optimized crystal structure of SmYTh2, computed with PBE.

a b c (Å): 5.0677 5.0861 11.3501
angles (deg): 90.00 116.43 90.00
Positions (direct):
Th 0.8784 0.2500 0.8784
Th 0.1216 0.7500 0.1216
Th 0.6203 0.2500 0.1200
Th 0.3797 0.7500 0.8800
Y 0.1319 0.2500 0.6316
Y 0.8681 0.7500 0.3684
Sm 0.3674 0.2500 0.3679
Sm 0.6326 0.7500 0.6321

2 | An optimized crystal structure of SmYTh2, computed with PBE.

a b c (Å): 5.1680 5.0216 5.0216
angles (deg): 90.00 90.00 90.00
Positions (direct):
Th 0.0000 0.5000 0.0000
Th 0.0000 0.0000 0.5000
Sm 0.5000 0.0000 0.0000
Y 0.5000 0.5000 0.5000

Most stable: 1

1 | An optimized crystal structure of SmYTh2, computed with PBE.

a b c (Å): 4.2180 4.2180 7.3377
angles (deg): 90.00 90.00 90.00
Positions (direct):
Th 0.0000 0.0000 0.7502
Th 0.0000 0.0000 0.2498
Y 0.5000 0.5000 0.5000
Sm 0.5000 0.5000 0.0000

2 | An optimized crystal structure of SmYTh2, computed with PBE.

a b c (Å): 9.8949 9.8949 3.5501
angles (deg): 93.86 93.86 126.47
Positions (direct):
Th 0.2569 0.4233 0.9583
Th 0.5767 0.7431 0.5417
Th 0.7431 0.5767 0.0417
Th 0.4233 0.2569 0.4583
Sm 0.0000 0.5000 0.5000
Sm 0.5000 0.0000 0.0000
Y 0.9130 0.0870 0.2500
Y 0.0870 0.9130 0.7500

3 | An optimized crystal structure of SmYTh2, computed with PBE.

a b c (Å): 5.6929 5.6929 5.6929
angles (deg): 60.00 60.00 60.00
Positions (direct):
Y 0.5000 0.5000 0.5000
Sm 0.0000 0.0000 0.0000
Th 0.7500 0.7500 0.7500
Th 0.2500 0.2500 0.2500

4 | An optimized crystal structure of SmYTh2, computed with PBE.

a b c (Å): 3.5921 3.5921 11.7912
angles (deg): 81.24 81.24 60.00
Positions (direct):
Sm 0.0000 0.0000 0.0000
Y 0.5000 0.5000 0.5000
Th 0.2497 0.2497 0.2508
Th 0.7503 0.7503 0.7492

Most stable: 4

1 | An optimized crystal structure of Sm12Y7Th, computed with PBE.

a b c (Å): 8.7798 8.7798 8.7798
angles (deg): 89.81 89.81 89.81
Positions (direct):
Sm 0.1291 0.7233 0.2634
Sm 0.8537 0.4987 0.3796
Sm 0.1463 0.5013 0.6204
Sm 0.8709 0.2767 0.7366
Sm 0.7366 0.8709 0.2767
Sm 0.4987 0.3796 0.8537
Sm 0.2767 0.7366 0.8709
Sm 0.7233 0.2634 0.1291
Sm 0.6204 0.1463 0.5013
Sm 0.2634 0.1291 0.7233
Sm 0.3796 0.8537 0.4987
Sm 0.5013 0.6204 0.1463
Y 0.1523 0.3803 0.0566
Y 0.0566 0.1523 0.3803
Y 0.5000 0.5000 0.5000
Y 0.8477 0.6197 0.9434
Y 0.9434 0.8477 0.6197
Y 0.3803 0.0566 0.1523
Y 0.6197 0.9434 0.8477
Th 0.0000 0.0000 0.0000

2 | An optimized crystal structure of Sm12Y7Th, computed with PBE.

a b c (Å): 9.9847 9.9847 9.9847
angles (deg): 109.47 109.47 109.47
Positions (direct):
Sm 0.5507 0.7751 0.7756
Sm 0.2244 0.4493 0.2249
Sm 0.2249 0.7756 0.0005
Sm 0.2244 0.9995 0.7751
Sm 0.2249 0.2244 0.4493
Sm 0.0005 0.2249 0.7756
Sm 0.7751 0.2244 0.9995
Sm 0.7756 0.5507 0.7751
Sm 0.4493 0.2249 0.2244
Sm 0.9995 0.7751 0.2244
Sm 0.7756 0.0005 0.2249
Sm 0.7751 0.7756 0.5507
Y 0.5000 0.0000 0.0000
Y 0.5000 0.5000 0.5000
Y 0.0000 0.5000 0.0000
Y 0.5000 0.5000 0.0000
Y 0.5000 0.0000 0.5000
Y 0.0000 0.0000 0.5000
Y 0.0000 0.5000 0.5000
Th 0.0000 0.0000 0.0000

Most stable: 1

1 | An optimized crystal structure of SmY3Th2, computed with PBE.

a b c (Å): 3.6404 8.9392 12.0743
angles (deg): 90.14 90.00 90.00
Positions (direct):
Y 0.2500 0.3599 0.0480
Y 0.2500 0.9021 0.3925
Y 0.7500 0.6029 0.2499
Y 0.7500 0.6401 0.9520
Y 0.7500 0.0979 0.6075
Y 0.2500 0.3971 0.7501
Th 0.7500 0.6396 0.5555
Th 0.2500 0.3604 0.4445
Th 0.2500 0.8997 0.0982
Th 0.7500 0.1003 0.9018
Sm 0.2500 0.8265 0.7581
Sm 0.7500 0.1735 0.2419

2 | An optimized crystal structure of SmY3Th2, computed with PBE.

a b c (Å): 6.5568 9.4089 9.4089
angles (deg): 136.63 90.00 90.00
Positions (direct):
Y 0.7500 0.0724 0.4249
Y 0.7500 0.1471 0.8529
Y 0.2500 0.8529 0.1471
Y 0.2500 0.4249 0.0724
Y 0.7500 0.5751 0.9276
Y 0.2500 0.9276 0.5751
Th 0.5000 0.7517 0.7517
Th 0.0000 0.2483 0.2483
Th 0.5000 0.2483 0.2483
Th 0.0000 0.7517 0.7517
Sm 0.7500 0.6470 0.3530
Sm 0.2500 0.3530 0.6470

Most stable: 1

1 | An optimized crystal structure of Sm3Y6Th, computed with PBE.

a b c (Å): 9.6941 6.3797 6.3797
angles (deg): 114.21 100.71 100.71
Positions (direct):
Th 0.0000 0.0000 0.0000
Y 0.8443 0.3831 0.7645
Y 0.1557 0.2355 0.6169
Y 0.1557 0.6169 0.2355
Y 0.8443 0.7644 0.3831
Y 0.3084 0.8868 0.8868
Y 0.6916 0.1132 0.1132
Sm 0.5000 0.5000 0.0000
Sm 0.5000 0.0000 0.5000
Sm 0.5000 0.5000 0.5000

2 | An optimized crystal structure of Sm3Y6Th, computed with PBE.

a b c (Å): 6.3182 11.0383 11.0383
angles (deg): 119.06 90.00 90.00
Positions (direct):
Y 0.1467 0.7260 0.2740
Y 0.3719 0.0450 0.4628
Y 0.8949 0.0464 0.9536
Y 0.0404 0.3808 0.2914
Y 0.3949 0.9536 0.0464
Y 0.8719 0.4628 0.0450
Y 0.5404 0.2914 0.3808
Y 0.8719 0.9550 0.5372
Y 0.6467 0.2740 0.7260
Y 0.5404 0.6192 0.7086
Y 0.0404 0.7086 0.6192
Y 0.3719 0.5372 0.9550
Sm 0.5676 0.6120 0.3880
Sm 0.0676 0.3880 0.6120
Sm 0.4536 0.9383 0.7147
Sm 0.9536 0.7147 0.9383
Sm 0.9536 0.0617 0.2853
Sm 0.4536 0.2853 0.0617
Th 0.1444 0.2052 0.7948
Th 0.6444 0.7948 0.2052

Most stable: 2

1 | An optimized crystal structure of SmY3Th, computed with PBE.

a b c (Å): 6.8093 9.6297 9.2955
angles (deg): 137.88 108.39 95.74
Positions (direct):
Y 0.9654 0.3610 0.7135
Y 0.5679 0.7645 0.3153
Y 0.4321 0.2355 0.6847
Y 0.7643 0.5658 0.5152
Y 0.0346 0.6390 0.2865
Y 0.2357 0.4342 0.4848
Sm 0.6421 0.0354 0.8864
Sm 0.3579 0.9646 0.1136
Th 0.8225 0.8237 0.0733
Th 0.1775 0.1763 0.9267

2 | An optimized crystal structure of SmY3Th, computed with PBE.

a b c (Å): 3.6275 8.6403 11.7122
angles (deg): 90.00 90.00 102.14
Positions (direct):
Y 0.6407 0.7826 0.2500
Y 0.3593 0.2174 0.7500
Y 0.1563 0.8131 0.9999
Y 0.8437 0.1869 0.0001
Y 0.1563 0.8131 0.5001
Y 0.8437 0.1869 0.4999
Th 0.3042 0.1092 0.2500
Th 0.6958 0.8908 0.7500
Sm 0.0280 0.5537 0.7500
Sm 0.9720 0.4463 0.2500

Most stable: 1

1 | An optimized crystal structure of Sm3Y3Th, computed with PBE.

a b c (Å): 6.2322 6.2322 14.7553
angles (deg): 77.81 77.81 60.00
Positions (direct):
Sm 0.9342 0.2688 0.1967
Sm 0.2688 0.6002 0.1967
Sm 0.6002 0.9342 0.1967
Sm 0.3998 0.0658 0.8033
Sm 0.7312 0.3998 0.8033
Sm 0.0658 0.7312 0.8033
Th 0.3333 0.3333 0.0000
Th 0.6667 0.6667 0.0000
Y 0.4657 0.8007 0.6001
Y 0.8007 0.1336 0.6001
Y 0.5343 0.1993 0.3999
Y 0.1993 0.8664 0.3999
Y 0.1336 0.4657 0.6001
Y 0.8664 0.5343 0.3999

2 | An optimized crystal structure of Sm3Y3Th, computed with PBE.

a b c (Å): 6.1713 6.1713 13.4434
angles (deg): 98.31 98.31 108.31
Positions (direct):
Th 0.3407 0.3407 0.1250
Th 0.6593 0.6593 0.8750
Sm 0.8113 0.1887 0.5000
Sm 0.4107 0.4107 0.6156
Sm 0.7764 0.2236 0.0000
Sm 0.2236 0.7764 0.0000
Sm 0.5893 0.5893 0.3844
Sm 0.1887 0.8113 0.5000
Y 0.3637 0.9534 0.2752
Y 0.6363 0.0466 0.7248
Y 0.9534 0.3637 0.2752
Y 0.0466 0.6363 0.7248
Y 0.2010 0.2010 0.8525
Y 0.7990 0.7990 0.1475

Most stable: 2

1 | An optimized crystal structure of SmY4Th, computed with PBE.

a b c (Å): 5.0761 15.2435 6.1930
angles (deg): 66.01 114.19 90.00
Positions (direct):
Y 0.9997 0.8364 0.4995
Y 0.2478 0.9189 0.9956
Y 0.5002 0.6636 0.5005
Y 0.2521 0.5811 0.0044
Y 0.0003 0.1636 0.5005
Y 0.7479 0.4189 0.9956
Y 0.4998 0.3364 0.4995
Y 0.7522 0.0811 0.0044
Sm 0.2501 0.2500 0.0000
Sm 0.7499 0.7500 0.0000
Th 0.5000 0.0000 0.5000
Th 0.0000 0.5000 0.5000

2 | An optimized crystal structure of SmY4Th, computed with PBE.

a b c (Å): 6.6427 9.1498 8.5423
angles (deg): 112.53 100.31 113.07
Positions (direct):
Y 0.2490 0.2852 0.3839
Y 0.0446 0.1705 0.7494
Y 0.3651 0.9013 0.6161
Y 0.7510 0.7148 0.6161
Y 0.9554 0.8295 0.2506
Y 0.2048 0.5789 0.7494
Y 0.7952 0.4211 0.2506
Y 0.6349 0.0987 0.3839
Th 0.2492 0.9992 0.9984
Th 0.7508 0.0008 0.0016
Sm 0.3396 0.5896 0.1791
Sm 0.6604 0.4104 0.8209

Most stable: 1

1 | An optimized crystal structure of Sm3Y4Th2, computed with PBE.

a b c (Å): 3.5991 7.9930 10.7860
angles (deg): 77.41 90.00 103.01
Positions (direct):
Sm 0.6700 0.3399 0.4416
Sm 0.3300 0.6601 0.5584
Sm 0.0000 0.0000 0.0000
Th 0.6668 0.3336 0.7783
Th 0.3332 0.6664 0.2217
Y 0.9950 0.9900 0.3316
Y 0.3300 0.6599 0.8895
Y 0.0050 0.0100 0.6684
Y 0.6700 0.3401 0.1105

2 | An optimized crystal structure of Sm3Y4Th2, computed with PBE.

a b c (Å): 5.8215 6.4086 9.4812
angles (deg): 115.99 107.88 90.00
Positions (direct):
Y 0.2276 0.3226 0.4553
Y 0.4382 0.6199 0.8764
Y 0.5618 0.3801 0.1236
Y 0.7724 0.6774 0.5447
Th 0.3545 0.9956 0.7090
Th 0.6455 0.0044 0.2910
Sm 0.8724 0.3092 0.7448
Sm 0.1276 0.6908 0.2552
Sm 0.0000 0.0000 0.0000

Most stable: 1